1.
VASP calculation (PBE) on a relaxed NaCu2HBr6 crystal.

Lattice parameters (Å, degrees): 9.4920 9.4920 7.6669 110.41 110.41 78.21
With the nearest neighbours (Å) after each atom.
Fractional coordinates of all 20 atoms:
Na 0.1183 0.8817 0.7500  4 Br 2.95-3.04
Na 0.8817 0.1183 0.2500  4 Br 2.95-3.04
Cu 0.2415 0.3664 0.8203  4 Br 2.36-2.46
Cu 0.3664 0.2415 0.3203  4 Br 2.36-2.46
Cu 0.6336 0.7585 0.6797  4 Br 2.36-2.46
Cu 0.7585 0.6336 0.1797  4 Br 2.36-2.46
H 0.3018 0.6982 0.2500  2 Br 1.72
H 0.6982 0.3018 0.7500  2 Br 1.72
Br 0.0699 0.1795 0.6613  1 Cu 2.36
Br 0.1795 0.0699 0.1613  1 Cu 2.36
Br 0.2029 0.6331 0.0067  1 H 1.72
Br 0.2553 0.4319 0.5506  2 Cu 2.41
Br 0.3669 0.7971 0.4933  1 H 1.72
Br 0.4319 0.2553 0.0506  2 Cu 2.41
Br 0.5681 0.7447 0.9494  2 Cu 2.41
Br 0.6331 0.2029 0.5067  1 H 1.72
Br 0.7447 0.5681 0.4494  2 Cu 2.41
Br 0.7971 0.3669 0.9933  1 H 1.72
Br 0.8205 0.9301 0.8387  1 Cu 2.36
Br 0.9301 0.8205 0.3387  1 Cu 2.36

Computed properties:
- electronic total energy (eV per atom) = -2.75
- spin magnetization (μB/cell) = 4.131
- space group = C2/c, No. 15

2.
VASP calculation (PBE) on a relaxed CuH2Br2O crystal.

Lattice parameters (Å, degrees): 5.9914 5.9914 7.0048 90.00 90.00 92.34
With the nearest neighbours (Å) after each atom.
Fractional coordinates of all 12 atoms:
Cu 0.0812 0.9188 0.5000  2 O 2.08-2.30, 2 Br 2.32
Cu 0.9188 0.0812 0.0000  2 O 2.08-2.30, 2 Br 2.32
H 0.0942 0.7140 0.1720  1 O 1.00
H 0.2860 0.9058 0.1720  1 O 1.00
H 0.7140 0.0942 0.6720  1 O 1.00
H 0.9058 0.2860 0.6720  1 O 1.00
Br 0.1748 0.3784 0.0368  1 H 2.29, 1 Cu 2.32
Br 0.3784 0.1748 0.5368  1 H 2.29, 1 Cu 2.32
Br 0.6216 0.8252 0.0368  1 H 2.29, 1 Cu 2.32
Br 0.8252 0.6216 0.5368  1 H 2.29, 1 Cu 2.32
O 0.1256 0.8744 0.2075  2 H 1.00
O 0.8744 0.1256 0.7075  2 H 1.00

Computed properties:
- electronic total energy (eV per atom) = -3.72
- spin magnetization (μB/cell) = 2.069
- space group = Cmc2_1, No. 36

3.
VASP calculation (PBE) on a relaxed Rb2CuHBr6 crystal.

Lattice parameters (Å, degrees): 7.6186 7.6186 7.6186 124.99 124.99 81.56
With the nearest neighbours (Å) after each atom.
Fractional coordinates of all 10 atoms:
Rb 0.2500 0.7500 0.5000  12 Br 3.55-3.81
Rb 0.7500 0.2500 0.5000  12 Br 3.55-3.81
Cu 0.0000 0.0000 0.0000  6 Br 2.39-2.67
H 0.5000 0.5000 0.0000  4 Br 2.31
Br 0.2069 0.2069 0.0000  1 Cu 2.39
Br 0.2681 0.2681 0.5362  1 H 2.31
Br 0.2681 0.7319 0.0000  1 H 2.31
Br 0.7319 0.2681 0.0000  1 H 2.31
Br 0.7319 0.7319 0.4638  1 H 2.31
Br 0.7931 0.7931 0.0000  1 Cu 2.39

Computed properties:
- electronic total energy (eV per atom) = -2.55
- spin magnetization (μB/cell) = 0.000
- space group = I4/mmm, No. 139

4.
VASP calculation (PBE) on a relaxed CuTe2HBr crystal.

Lattice parameters (Å, degrees): 5.9598 5.9598 3.3881 90.00 90.00 90.00
With the nearest neighbours (Å) after each atom.
Fractional coordinates of all 5 atoms:
Cu 0.0000 0.0000 0.0000  2 Cu 3.39, 8 Te 3.43
Te 0.0000 0.5000 0.5000  2 Br 2.98
Te 0.5000 0.0000 0.5000  2 Br 2.98
H 0.5000 0.5000 0.0000  2 Br 1.69
Br 0.5000 0.5000 0.5000  2 H 1.69

Computed properties:
- electronic total energy (eV per atom) = -2.36
- spin magnetization (μB/cell) = 0.000
- space group = P4/mmm, No. 123

5.
VASP calculation (PBE) on a relaxed TiCuH2Br crystal.

Lattice parameters (Å, degrees): 3.6785 3.6785 5.3938 90.00 90.00 90.00
With the nearest neighbours (Å) after each atom.
Fractional coordinates of all 5 atoms:
Ti 0.0000 0.0000 0.0000  4 H 1.84
Cu 0.0000 0.0000 0.5000  4 Br 2.60, 2 Ti 2.70
H 0.0000 0.5000 0.0000  2 Ti 1.84
H 0.5000 0.0000 0.0000  2 Ti 1.84
Br 0.5000 0.5000 0.5000  4 Cu 2.60

Computed properties:
- electronic total energy (eV per atom) = -3.81
- spin magnetization (μB/cell) = 1.422
- space group = P4/mmm, No. 123

6.
VASP calculation (PBE) on a relaxed TlCu2HBr6 crystal.

Lattice parameters (Å, degrees): 9.8279 9.8279 7.4833 108.70 108.70 83.49
With the nearest neighbours (Å) after each atom.
Fractional coordinates of all 20 atoms:
Tl 0.1456 0.8544 0.7500  4 Br 3.28-3.30
Tl 0.8544 0.1456 0.2500  4 Br 3.28-3.30
Cu 0.2466 0.3630 0.8445  4 Br 2.36-2.46
Cu 0.3630 0.2466 0.3445  4 Br 2.36-2.46
Cu 0.6370 0.7534 0.6555  4 Br 2.36-2.46
Cu 0.7534 0.6370 0.1555  4 Br 2.36-2.46
H 0.3076 0.6924 0.2500  2 Br 1.72
H 0.6924 0.3076 0.7500  2 Br 1.72
Br 0.0756 0.1775 0.6944  1 Cu 2.36
Br 0.1775 0.0756 0.1944  1 Cu 2.36
Br 0.1821 0.6018 0.0358  1 H 1.72
Br 0.2756 0.4345 0.5803  2 Cu 2.40-2.41
Br 0.3982 0.8179 0.4642  1 H 1.72
Br 0.4345 0.2756 0.0803  2 Cu 2.40-2.41
Br 0.5655 0.7244 0.9197  2 Cu 2.40-2.41
Br 0.6018 0.1821 0.5358  1 H 1.72
Br 0.7244 0.5655 0.4197  2 Cu 2.40-2.41
Br 0.8179 0.3982 0.9642  1 H 1.72
Br 0.8225 0.9244 0.8056  1 Cu 2.36
Br 0.9244 0.8225 0.3056  1 Cu 2.36

Computed properties:
- electronic total energy (eV per atom) = -2.73
- spin magnetization (μB/cell) = 4.027
- space group = C2/c, No. 15

7.
VASP calculation (PBE) on a relaxed Tl2CuHBr crystal.

Lattice parameters (Å, degrees): 5.4402 5.4402 4.8493 90.00 90.00 90.00
With the nearest neighbours (Å) after each atom.
Fractional coordinates of all 5 atoms:
Tl 0.0000 0.5000 0.0000  2 Cu 2.72
Tl 0.5000 0.0000 0.0000  2 Cu 2.72
Cu 0.0000 0.0000 0.0000  2 Br 2.42
H 0.5000 0.5000 0.5000  8 Tl 3.64, 4 Br 3.85
Br 0.0000 0.0000 0.5000  2 Cu 2.42

Computed properties:
- electronic total energy (eV per atom) = -2.43
- spin magnetization (μB/cell) = 0.000
- space group = P4/mmm, No. 123

8.
VASP calculation (PBE) on a relaxed Tl2CuHBr5 crystal.

Lattice parameters (Å, degrees): 4.1960 14.2519 9.7195 90.00 98.92 90.00
With the nearest neighbours (Å) after each atom.
Fractional coordinates of all 18 atoms:
Tl 0.0584 0.0000 0.1738  7 Br 3.30-3.48, 1 H 3.56
Tl 0.1288 0.6734 0.3302  6 Br 3.23-3.56
Tl 0.8712 0.1734 0.6698  6 Br 3.23-3.56
Tl 0.9416 0.5000 0.8262  7 Br 3.30-3.48, 1 H 3.56
Cu 0.4593 0.7394 0.8952  4 Br 2.41-2.44
Cu 0.5407 0.2394 0.1048  4 Br 2.41-2.44
H 0.4986 0.9189 0.4950  1 Br 1.50
H 0.5014 0.4189 0.5050  1 Br 1.50
Br 0.0287 0.3242 0.0744  2 Cu 2.43-2.44
Br 0.3825 0.6547 0.6776  1 Cu 2.41
Br 0.3877 0.3484 0.6837  1 H 2.12
Br 0.3914 0.9667 0.6174  1 H 1.50
Br 0.4744 0.1115 0.9367  1 Cu 2.43
Br 0.5256 0.6115 0.0633  1 Cu 2.43
Br 0.6086 0.4667 0.3826  1 H 1.50
Br 0.6123 0.8484 0.3163  1 H 2.12
Br 0.6175 0.1547 0.3224  1 Cu 2.41
Br 0.9713 0.8242 0.9256  2 Cu 2.43-2.44

Computed properties:
- electronic total energy (eV per atom) = -2.79
- spin magnetization (μB/cell) = 1.859
- space group = P2_1, No. 4

9.
VASP calculation (PBE) on a relaxed HfCu2Br6 crystal.

Lattice parameters (Å, degrees): 10.1055 10.1055 6.4956 91.21 91.21 90.25
With the nearest neighbours (Å) after each atom.
Fractional coordinates of all 18 atoms:
Hf 0.0896 0.9104 0.7500  4 Br 2.48-2.64
Hf 0.9104 0.0896 0.2500  4 Br 2.48-2.64
Cu 0.4202 0.4364 0.1234  2 Br 2.30-2.33
Cu 0.4364 0.4202 0.6234  2 Br 2.30-2.33
Cu 0.5636 0.5798 0.3766  2 Br 2.30-2.33
Cu 0.5798 0.5636 0.8766  2 Br 2.30-2.33
Br 0.0448 0.1631 0.5860  2 Hf 2.64-2.82
Br 0.0878 0.6840 0.8888  1 Hf 2.48
Br 0.1631 0.0448 0.0860  2 Hf 2.64-2.82
Br 0.2777 0.4886 0.3905  2 Cu 2.30-2.33
Br 0.3160 0.9122 0.6112  1 Hf 2.48
Br 0.4886 0.2777 0.8905  2 Cu 2.30-2.33
Br 0.5114 0.7223 0.1095  2 Cu 2.30-2.33
Br 0.6840 0.0878 0.3888  1 Hf 2.48
Br 0.7223 0.5114 0.6095  2 Cu 2.30-2.33
Br 0.8369 0.9552 0.9140  2 Hf 2.64-2.82
Br 0.9122 0.3160 0.1112  1 Hf 2.48
Br 0.9552 0.8369 0.4140  2 Hf 2.64-2.82

Computed properties:
- electronic total energy (eV per atom) = -4.00
- formation energy from raw total energies (eV per atom) = -0.8677
- spin magnetization (μB/cell) = 0.000
- space group = C2/c, No. 15

10.
VASP calculation (PBE) on a relaxed Hf3CuBr crystal.

Lattice parameters (Å, degrees): 4.9303 4.9303 4.9303 90.00 90.00 90.00
With the nearest neighbours (Å) after each atom.
Fractional coordinates of all 5 atoms:
Hf 0.0000 0.0000 0.5000  2 Cu 2.47
Hf 0.0000 0.5000 0.0000  2 Cu 2.47
Hf 0.5000 0.0000 0.0000  2 Cu 2.47
Cu 0.0000 0.0000 0.0000  6 Hf 2.47
Br 0.5000 0.5000 0.5000  12 Hf 3.49

Computed properties:
- electronic total energy (eV per atom) = -6.47
- formation energy from raw total energies (eV per atom) = 0.6593
- spin magnetization (μB/cell) = 0.000
- space group = Pm-3m, No. 221

11.
VASP calculation (PBE) on a relaxed HfCuBr3 crystal.

Lattice parameters (Å, degrees): 5.2593 5.2593 5.2593 90.00 90.00 90.00
With the nearest neighbours (Å) after each atom.
Fractional coordinates of all 5 atoms:
Hf 0.0000 0.0000 0.0000  6 Br 2.63
Cu 0.5000 0.5000 0.5000  12 Br 3.72
Br 0.0000 0.0000 0.5000  2 Hf 2.63
Br 0.0000 0.5000 0.0000  2 Hf 2.63
Br 0.5000 0.0000 0.0000  2 Hf 2.63

Computed properties:
- electronic total energy (eV per atom) = -4.00
- formation energy from raw total energies (eV per atom) = -0.1839
- spin magnetization (μB/cell) = 0.727
- space group = Pm-3m, No. 221

12.
VASP calculation (PBE) on a relaxed HfCuBr3 crystal.

Lattice parameters (Å, degrees): 4.9738 4.9738 4.9738 90.00 90.00 90.00
With the nearest neighbours (Å) after each atom.
Fractional coordinates of all 5 atoms:
Hf 0.0000 0.0000 0.0000  12 Br 3.52
Cu 0.5000 0.5000 0.5000  6 Br 2.49
Br 0.0000 0.5000 0.5000  2 Cu 2.49
Br 0.5000 0.0000 0.5000  2 Cu 2.49
Br 0.5000 0.5000 0.0000  2 Cu 2.49

Computed properties:
- electronic total energy (eV per atom) = -3.52
- formation energy from raw total energies (eV per atom) = 0.2936
- spin magnetization (μB/cell) = 1.778
- space group = Pm-3m, No. 221

13.
VASP calculation (PBE) on a relaxed KHfCuBr6 crystal.

Lattice parameters (Å, degrees): 6.9544 6.9544 14.6474 90.00 90.00 120.00
With the nearest neighbours (Å) after each atom.
Fractional coordinates of all 18 atoms:
K 0.0000 0.0000 0.0000  6 Br 3.36
K 0.0000 0.0000 0.5000  6 Br 3.36
Hf 0.3333 0.6667 0.2500  6 Br 2.63
Hf 0.6667 0.3333 0.7500  6 Br 2.63
Cu 0.3333 0.6667 0.7500  6 Br 2.71
Cu 0.6667 0.3333 0.2500  6 Br 2.71
Br 0.0085 0.3755 0.1466  1 Hf 2.63, 1 Cu 2.71
Br 0.0085 0.6330 0.3534  1 Hf 2.63, 1 Cu 2.71
Br 0.3670 0.3755 0.3534  1 Hf 2.63, 1 Cu 2.71
Br 0.3670 0.9915 0.1466  1 Hf 2.63, 1 Cu 2.71
Br 0.3755 0.0085 0.6466  1 Hf 2.63, 1 Cu 2.71
Br 0.3755 0.3670 0.8534  1 Hf 2.63, 1 Cu 2.71
Br 0.6245 0.6330 0.1466  1 Hf 2.63, 1 Cu 2.71
Br 0.6245 0.9915 0.3534  1 Hf 2.63, 1 Cu 2.71
Br 0.6330 0.0085 0.8534  1 Hf 2.63, 1 Cu 2.71
Br 0.6330 0.6245 0.6466  1 Hf 2.63, 1 Cu 2.71
Br 0.9915 0.3670 0.6466  1 Hf 2.63, 1 Cu 2.71
Br 0.9915 0.6245 0.8534  1 Hf 2.63, 1 Cu 2.71

Computed properties:
- electronic total energy (eV per atom) = -3.99
- formation energy from raw total energies (eV per atom) = -1.1940
- spin magnetization (μB/cell) = 0.250
- space group = P-31c, No. 163

14.
VASP calculation (PBE) on a relaxed HfMgCu2Br crystal.

Lattice parameters (Å, degrees): 4.6573 4.6573 4.9657 90.00 90.00 90.00
With the nearest neighbours (Å) after each atom.
Fractional coordinates of all 5 atoms:
Hf 0.0000 0.0000 0.0000  4 Mg 3.29, 8 Cu 3.40
Mg 0.5000 0.5000 0.0000  2 Br 2.48
Cu 0.0000 0.5000 0.5000  2 Br 2.33
Cu 0.5000 0.0000 0.5000  2 Br 2.33
Br 0.5000 0.5000 0.5000  4 Cu 2.33, 2 Mg 2.48

Computed properties:
- electronic total energy (eV per atom) = -3.33
- formation energy from raw total energies (eV per atom) = 0.9526
- spin magnetization (μB/cell) = 0.317
- space group = P4/mmm, No. 123

15.
VASP calculation (PBE) on a relaxed HfCu2NiBr crystal.

Lattice parameters (Å, degrees): 5.0447 5.0447 4.6804 90.00 90.00 90.00
With the nearest neighbours (Å) after each atom.
Fractional coordinates of all 5 atoms:
Hf 0.0000 0.0000 0.0000  2 Ni 2.34, 4 Cu 2.52
Cu 0.0000 0.5000 0.0000  2 Hf 2.52
Cu 0.5000 0.0000 0.0000  2 Hf 2.52
Ni 0.0000 0.0000 0.5000  2 Hf 2.34
Br 0.5000 0.5000 0.5000  8 Cu 3.44, 4 Ni 3.57

Computed properties:
- electronic total energy (eV per atom) = -3.90
- formation energy from raw total energies (eV per atom) = 1.2169
- spin magnetization (μB/cell) = 0.000
- space group = P4/mmm, No. 123

16.
VASP calculation (PBE) on a relaxed HfCu2PBr crystal.

Lattice parameters (Å, degrees): 4.4125 4.4125 5.1731 90.00 90.00 90.00
With the nearest neighbours (Å) after each atom.
Fractional coordinates of all 5 atoms:
Hf 0.0000 0.0000 0.0000  2 Br 2.59
Cu 0.0000 0.5000 0.5000  2 Br 2.21
Cu 0.5000 0.0000 0.5000  2 Br 2.21
P 0.5000 0.5000 0.0000  4 Hf 3.12, 8 Cu 3.40
Br 0.0000 0.0000 0.5000  4 Cu 2.21

Computed properties:
- electronic total energy (eV per atom) = -4.14
- formation energy from raw total energies (eV per atom) = 0.9016
- spin magnetization (μB/cell) = 0.000
- space group = P4/mmm, No. 123

17.
VASP calculation (PBE) on a relaxed HfCuPtBr2 crystal.

Lattice parameters (Å, degrees): 5.1876 5.1876 5.1790 90.00 90.00 90.00
With the nearest neighbours (Å) after each atom.
Fractional coordinates of all 5 atoms:
Hf 0.0000 0.0000 0.0000  2 Pt 2.59, 4 Br 2.59
Cu 0.5000 0.5000 0.5000  8 Br 3.67, 4 Pt 3.67
Pt 0.0000 0.0000 0.5000  2 Hf 2.59
Br 0.0000 0.5000 0.0000  2 Hf 2.59
Br 0.5000 0.0000 0.0000  2 Hf 2.59

Computed properties:
- electronic total energy (eV per atom) = -4.47
- formation energy from raw total energies (eV per atom) = 0.2180
- spin magnetization (μB/cell) = 0.000
- space group = P4/mmm, No. 123

18.
VASP calculation (PBE) on a relaxed HfCuSbBr2 crystal.

Lattice parameters (Å, degrees): 5.1235 5.1235 5.4901 90.00 90.00 90.00
With the nearest neighbours (Å) after each atom.
Fractional coordinates of all 5 atoms:
Hf 0.0000 0.0000 0.0000  4 Br 2.56, 2 Cu 2.75
Cu 0.0000 0.0000 0.5000  2 Hf 2.75
Sb 0.5000 0.5000 0.5000  4 Cu 3.62, 8 Br 3.75
Br 0.0000 0.5000 0.0000  2 Hf 2.56
Br 0.5000 0.0000 0.0000  2 Hf 2.56

Computed properties:
- electronic total energy (eV per atom) = -4.00
- formation energy from raw total energies (eV per atom) = 0.3018
- spin magnetization (μB/cell) = 1.394
- space group = P4/mmm, No. 123

19.
VASP calculation (PBE) on a relaxed HfCu2SiBr crystal.

Lattice parameters (Å, degrees): 4.9838 4.9838 5.3915 90.00 90.00 90.00
With the nearest neighbours (Å) after each atom.
Fractional coordinates of all 5 atoms:
Hf 0.0000 0.0000 0.0000  4 Cu 2.49, 2 Si 2.70
Cu 0.0000 0.5000 0.0000  2 Hf 2.49
Cu 0.5000 0.0000 0.0000  2 Hf 2.49
Si 0.0000 0.0000 0.5000  2 Hf 2.70
Br 0.5000 0.5000 0.5000  4 Si 3.52, 8 Cu 3.67

Computed properties:
- electronic total energy (eV per atom) = -3.90
- formation energy from raw total energies (eV per atom) = 1.1486
- spin magnetization (μB/cell) = 0.000
- space group = P4/mmm, No. 123

20.
VASP calculation (PBE) on a relaxed HfTlCu2Br8 crystal.

Lattice parameters (Å, degrees): 6.6699 7.3148 9.1286 68.29 81.89 82.38
With the nearest neighbours (Å) after each atom.
Fractional coordinates of all 12 atoms:
Hf 0.0000 0.0000 0.0000  6 Br 2.58-2.66
Tl 0.0000 0.5000 0.5000  6 Br 3.29-3.46
Cu 0.4882 0.0195 0.3230  4 Br 2.37-2.64
Cu 0.5118 0.9805 0.6770  4 Br 2.37-2.64
Br 0.1196 0.9763 0.2731  1 Cu 2.64, 1 Hf 2.66
Br 0.1417 0.3399 0.8610  1 Hf 2.58
Br 0.3536 0.8134 0.9380  1 Cu 2.40, 1 Hf 2.66
Br 0.4702 0.2673 0.4480  2 Cu 2.37-2.46
Br 0.5298 0.7327 0.5520  2 Cu 2.37-2.46
Br 0.6464 0.1866 0.0620  1 Cu 2.40, 1 Hf 2.66
Br 0.8583 0.6601 0.1390  1 Hf 2.58
Br 0.8804 0.0237 0.7269  1 Cu 2.64, 1 Hf 2.66

Computed properties:
- electronic total energy (eV per atom) = -3.67
- formation energy from raw total energies (eV per atom) = -0.8411
- spin magnetization (μB/cell) = 1.044
- space group = P-1, No. 2